## BiPCl2F (PBE)

Data for an optimized crystal structure of BiPCl2F.

POSCAR file:
```
BiPCl2F
1.0
5.319 0.000 0.000
0.000 5.319 0.000
0.000 0.000 5.721
Bi P Cl F
1 1 2 1
Direct
0.000 0.000 0.000
0.000 0.000 0.500
0.000 0.500 0.000
0.500 0.000 0.000
0.500 0.500 0.500
```

Properties
The value obtained for the energy relative to the lowest polymorph listed for this composition is 119.4 meV/atom. For the density of states at the Fermi level, the calculation gives 1.82 states/eV per atom. The calculation puts the total DFT energy (no corrections) at -2.937 eV per atom. As for the uncorrected formation energy: 0.2 eV per formula unit.

---

## Mg2GaSn3 (PBE)

Data for an optimized crystal structure of Mg2GaSn3.

POSCAR file:
```
Mg2GaSn3
1.0
3.741 0.000 0.000
0.000 3.741 0.000
0.000 0.000 10.266
Mg Ga Sn
2 1 3
Direct
0.000 0.000 0.165
0.000 0.000 0.835
0.000 0.000 0.500
0.500 0.500 0.000
0.500 0.500 0.336
0.500 0.500 0.664
```

Properties
For the density of states at the Fermi level, the calculation gives 0.37 states/eV per atom. The value obtained for the energy of formation is -0.046 eV/atom. The calculation puts the total DFT energy (no corrections) at -3.084 eV per atom.

---

## CaMgSi3 (PBE)

Data for an optimized crystal structure of CaMgSi3.

POSCAR file:
```
CaMgSi3
1.0
5.259 0.000 0.000
0.000 5.259 0.000
0.000 0.000 5.259
Ca Mg Si
1 1 3
Direct
0.000 0.000 0.000
0.500 0.500 0.500
0.000 0.000 0.500
0.000 0.500 0.000
0.500 0.000 0.000
```

Properties
The value obtained for the energy relative to the lowest polymorph listed for this composition is 721.7 meV/atom. For the density of states at the Fermi level, the calculation gives 1.27 states/eV per atom. The calculation puts the total DFT energy (no corrections) at -2.675 eV per atom. As for the uncorrected formation energy: 6.5 eV per formula unit.

---

## Gd3Cr5S12 (PBE)

Data for an optimized crystal structure of Gd3Cr5S12.

POSCAR file:
```
Gd3Cr5S12
1.0
-7.459 7.459 7.459
7.459 -7.459 7.459
7.459 7.459 -7.459
Gd Cr S
12 20 48
Direct
0.125 0.250 0.375
0.125 0.375 0.750
0.250 0.375 0.125
0.250 0.875 0.625
0.375 0.125 0.250
0.375 0.750 0.125
0.625 0.250 0.875
0.625 0.875 0.750
0.750 0.125 0.375
0.750 0.625 0.875
0.875 0.625 0.250
0.875 0.750 0.625
0.000 0.000 0.000
0.000 0.000 0.500
0.000 0.500 0.000
0.000 0.500 0.500
0.125 0.750 0.875
0.125 0.875 0.250
0.250 0.125 0.875
0.250 0.625 0.375
0.375 0.250 0.625
0.375 0.625 0.750
0.500 0.000 0.000
0.500 0.000 0.500
0.500 0.500 0.000
0.500 0.500 0.500
0.625 0.375 0.250
0.625 0.750 0.375
0.750 0.375 0.625
0.750 0.875 0.125
0.875 0.125 0.750
0.875 0.250 0.125
0.028 0.206 0.120
0.028 0.322 0.908
0.087 0.706 0.678
0.087 0.880 0.408
0.092 0.620 0.413
0.092 0.972 0.678
0.120 0.028 0.206
0.120 0.592 0.913
0.178 0.206 0.587
0.178 0.472 0.592
0.206 0.120 0.028
0.206 0.587 0.178
0.294 0.322 0.913
0.294 0.472 0.380
0.322 0.908 0.028
0.322 0.913 0.294
0.380 0.294 0.472
0.380 0.587 0.908
0.408 0.087 0.880
0.408 0.822 0.528
0.413 0.092 0.620
0.413 0.822 0.794
0.472 0.380 0.294
0.472 0.592 0.178
0.528 0.408 0.822
0.528 0.620 0.706
0.587 0.178 0.206
0.587 0.908 0.380
0.592 0.178 0.472
0.592 0.913 0.120
0.620 0.413 0.092
0.620 0.706 0.528
0.678 0.087 0.706
0.678 0.092 0.972
0.706 0.528 0.620
0.706 0.678 0.087
0.794 0.413 0.822
0.794 0.880 0.972
0.822 0.528 0.408
0.822 0.794 0.413
0.880 0.408 0.087
0.880 0.972 0.794
0.908 0.028 0.322
0.908 0.380 0.587
0.913 0.120 0.592
0.913 0.294 0.322
0.972 0.678 0.092
0.972 0.794 0.880
```

Properties
For the density of states at the Fermi level, the calculation gives 0.54 states/eV per atom. The calculation puts the total DFT energy (no corrections) at -8.076 eV per atom. As for the uncorrected formation energy: -21.6 eV per formula unit.

---

## Cs3IClF (PBE)

Data for an optimized crystal structure of Cs3IClF.

POSCAR file:
```
Cs3IClF
1.0
9.737 -2.885 0.000
9.737 2.885 0.000
-2.210 0.000 9.694
Cs I Cl F
6 2 2 2
Direct
0.004 0.004 0.276
0.341 0.341 0.665
0.355 0.355 0.212
0.645 0.645 0.788
0.659 0.659 0.335
0.996 0.996 0.724
0.152 0.152 0.061
0.848 0.848 0.939
0.151 0.151 0.564
0.849 0.849 0.436
0.493 0.493 0.720
0.507 0.507 0.280
```

Properties
For the density of states at the Fermi level, the calculation gives 0.00 states/eV per atom. The calculation puts the total DFT energy (no corrections) at -3.312 eV per atom. As for the uncorrected formation energy: -12.0 eV per formula unit.

---

## OsPt4 (PBE)

Data for an optimized crystal structure of OsPt4.

POSCAR file:
```
OsPt4
1.0
1.389 0.802 11.462
-1.389 0.802 11.462
0.000 -1.604 11.462
Os Pt
1 4
Direct
0.000 0.000 0.000
0.201 0.201 0.201
0.397 0.397 0.397
0.603 0.603 0.603
0.799 0.799 0.799
```

Properties
The value obtained for the energy relative to the lowest polymorph listed for this composition is 0.0 meV/atom. For the density of states at the Fermi level, the calculation gives 1.07 states/eV per atom. The value obtained for the energy of formation is -0.011 eV/atom. The calculation puts the total DFT energy (no corrections) at -7.089 eV per atom.

---

## Pm4Th2Sn3H2 (PBE)

Data for an optimized crystal structure of Pm4Th2Sn3H2.

POSCAR file:
```
Pm4Th2Sn3H2
1.0
-2.379 2.379 12.841
2.379 -2.379 12.841
2.379 2.379 -12.841
Pm Th Sn H
4 2 3 2
Direct
0.083 0.583 0.500
0.417 0.917 0.500
0.583 0.083 0.500
0.917 0.417 0.500
0.201 0.201 0.000
0.799 0.799 0.000
0.326 0.326 0.000
0.500 0.500 0.000
0.674 0.674 0.000
0.104 0.104 0.000
0.896 0.896 0.000
```

Properties
For the density of states at the Fermi level, the calculation gives 0.97 states/eV per atom. The calculation puts the total DFT energy (no corrections) at -5.253 eV per atom.

---

## CaHgS3 (PBE)

Data for an optimized crystal structure of CaHgS3.

POSCAR file:
```
CaHgS3
1.0
4.999 0.000 0.000
0.000 4.999 0.000
0.000 0.000 4.999
Ca Hg S
1 1 3
Direct
0.000 0.000 0.000
0.500 0.500 0.500
0.000 0.500 0.500
0.500 0.000 0.500
0.500 0.500 0.000
```

Properties
The value obtained for the energy relative to the lowest polymorph listed for this composition is 0.0 meV/atom. For the density of states at the Fermi level, the calculation gives 0.74 states/eV per atom. The calculation puts the total DFT energy (no corrections) at -3.105 eV per atom. As for the uncorrected formation energy: -0.8 eV per formula unit.

---

Question: Look up the total DFT energy (no corrections) of the sixth one.
Answer: -7.089 eV per atom

---

Question: Which of these has the lowest total DFT energy (no corrections)?
Answer: Gd3Cr5S12

---

Question: Among the records above, which one has the highest total DFT energy (no corrections)?
Answer: CaMgSi3

---

Question: Which of these has the lowest density of states at the Fermi level?
Answer: Cs3IClF